First-principles (GGA+U) data for Mn4Cr6F19 after structural relaxation, as listed in the Alexandria database.

Geometry as extended XYZ:
```
29
Lattice="-4.5934 4.5934 4.5934 4.5934 -4.5934 4.5934 4.5934 4.5934 -4.5934" Properties=species:S:1:pos:R:3 pbc="T T T"
Mn 3.3185 3.3185 -3.3185
Mn 3.3185 -3.3185 3.3185
Mn 1.2750 1.2750 1.2750
Mn -3.3185 3.3185 3.3185
Cr 4.5934 0.0000 1.6542
Cr 4.5934 2.9392 0.0000
Cr 1.6542 4.5934 0.0000
Cr 2.9392 0.0000 4.5934
Cr 0.0000 1.6542 4.5934
Cr 0.0000 4.5934 2.9392
F 0.0000 0.0000 0.0000
F 2.7552 0.0000 0.0000
F 6.4316 0.0000 0.0000
F 3.9879 1.9223 -1.7751
F 6.3685 -0.6055 2.6711
F 1.9223 -1.7751 3.9879
F 0.0000 2.7552 0.0000
F 0.0000 0.0000 2.7552
F 2.8183 0.6055 2.6711
F 2.6711 2.8183 0.6055
F 5.1990 1.9223 1.7751
F 0.6055 2.6711 2.8183
F 2.6711 6.3685 -0.6055
F -1.7751 3.9879 1.9223
F 0.0000 6.4316 0.0000
F 0.0000 0.0000 6.4316
F 1.9223 1.7751 5.1990
F 1.7751 5.1990 1.9223
F -0.6055 2.6711 6.3685
```

Output
Electronic total energy   -6.2290 eV/atom